{
  "formula": "Tb4P3Rh12Pb",
  "functional": "PBE",
  "state": "optimized geometry",
  "e_form_ev_per_atom": -0.432,
  "volume_a3_per_atom": 19.0,
  "lattice": [[-3.296, -3.083, 6.496], [-2.446, -4.019, -6.359], [7.876, -0.483, 0.556]],
  "species": ["Tb", "Tb", "Tb", "Tb", "P", "P", "P", "Rh", "Rh", "Rh", "Rh", "Rh", "Rh", "Rh", "Rh", "Rh", "Rh", "Rh", "Rh", "Pb"],
  "fractional_positions": [[0.500, 0.500, 0.500], [0.000, 0.000, 0.500], [0.500, 0.000, 0.000], [0.000, 0.500, 0.000], [0.500, 0.000, 0.500], [0.500, 0.500, 0.000], [0.000, 0.500, 0.500], [0.250, 0.500, 0.750], [0.729, 0.000, 0.729], [0.271, 0.000, 0.271], [0.750, 0.500, 0.250], [0.729, 0.729, 0.000], [0.271, 0.271, 0.000], [0.750, 0.250, 0.500], [0.250, 0.750, 0.500], [0.500, 0.250, 0.750], [0.000, 0.729, 0.729], [0.500, 0.750, 0.250], [0.000, 0.271, 0.271], [0.000, 0.000, 0.000]]
}

***

{
  "formula": "Tb3P2Rh9Pb",
  "functional": "PBE",
  "state": "optimized geometry",
  "e_form_ev_per_atom": -0.608,
  "volume_a3_per_atom": 20.1,
  "lattice": [[-4.296, -2.385, -3.546], [5.802, -1.549, -0.810], [-1.063, -7.181, 6.118]],
  "species": ["Tb", "Tb", "Tb", "P", "P", "Rh", "Rh", "Rh", "Rh", "Rh", "Rh", "Rh", "Rh", "Rh", "Pb"],
  "fractional_positions": [[0.333, 0.667, 0.736], [0.000, 0.000, 0.000], [0.667, 0.333, 0.264], [0.333, 0.667, 0.157], [0.667, 0.333, 0.843], [0.850, 0.150, 0.737], [0.850, 0.700, 0.737], [0.300, 0.150, 0.737], [0.700, 0.850, 0.263], [0.150, 0.300, 0.263], [0.150, 0.850, 0.263], [0.500, 0.000, 0.000], [0.000, 0.500, 0.000], [0.500, 0.500, 0.000], [0.000, 0.000, 0.500]]
}

***

{
  "formula": "Th2P3Rh12Pb",
  "functional": "PBE",
  "state": "optimized geometry",
  "e_form_ev_per_atom": -0.317,
  "volume_a3_per_atom": 17.8,
  "lattice": [[-1.321, -5.764, -3.863], [4.353, -4.969, 2.499], [-4.016, -4.121, 4.096]],
  "species": ["Th", "Th", "P", "P", "P", "Rh", "Rh", "Rh", "Rh", "Rh", "Rh", "Rh", "Rh", "Rh", "Rh", "Rh", "Rh", "Pb"],
  "fractional_positions": [[0.609, 0.609, 0.609], [0.391, 0.391, 0.391], [0.500, 0.000, 0.000], [0.000, 0.500, 0.000], [0.000, 0.000, 0.500], [0.333, 0.333, 0.905], [0.841, 0.841, 0.377], [0.377, 0.841, 0.841], [0.905, 0.333, 0.333], [0.841, 0.377, 0.841], [0.333, 0.905, 0.333], [0.667, 0.667, 0.095], [0.159, 0.159, 0.623], [0.623, 0.159, 0.159], [0.095, 0.667, 0.667], [0.159, 0.623, 0.159], [0.667, 0.095, 0.667], [0.000, 0.000, 0.000]]
}

***

{
  "formula": "PRu2Pb",
  "functional": "PBE",
  "state": "optimized geometry",
  "e_form_ev_per_atom": -0.031,
  "volume_a3_per_atom": 17.0,
  "polymorph_energy_mev_per_atom": 49.8,
  "lattice": [[5.502, -2.772, 3.872], [5.941, 1.639, 3.869], [-6.955, 0.667, -2.032]],
  "species": ["P", "Ru", "Ru", "Pb"],
  "fractional_positions": [[0.453, 0.453, 0.000], [0.019, 0.019, 0.000], [0.331, 0.831, 0.500], [0.697, 0.197, 0.500]]
}

***

{
  "formula": "PRuPb4",
  "functional": "PBE",
  "state": "optimized geometry",
  "e_form_ev_per_atom": 1.062,
  "volume_a3_per_atom": 28.2,
  "lattice": [[-2.112, 4.330, 3.921], [0.092, 5.989, -1.644], [-5.318, 2.967, -1.222]],
  "species": ["P", "Ru", "Pb", "Pb", "Pb", "Pb"],
  "fractional_positions": [[0.000, 0.000, 0.000], [0.750, 0.750, 0.750], [0.874, 0.375, 0.375], [0.375, 0.375, 0.874], [0.375, 0.874, 0.375], [0.375, 0.375, 0.375]]
}

***

{
  "formula": "PRu2Pb",
  "functional": "PBE",
  "state": "optimized geometry",
  "e_form_ev_per_atom": 0.391,
  "volume_a3_per_atom": 16.0,
  "polymorph_energy_mev_per_atom": 471.9,
  "lattice": [[4.465, 0.000, 0.000], [0.000, 4.465, 0.000], [0.000, 0.000, 3.209]],
  "species": ["P", "Ru", "Ru", "Pb"],
  "fractional_positions": [[0.500, 0.500, 0.500], [0.500, 0.000, 0.000], [0.000, 0.500, 0.000], [0.000, 0.000, 0.500]]
}

***

{
  "formula": "P2RuPb",
  "functional": "PBE",
  "state": "optimized geometry",
  "e_form_ev_per_atom": 0.596,
  "volume_a3_per_atom": 18.7,
  "lattice": [[-3.951, 1.199, 2.010], [0.964, -4.269, 1.391], [0.619, 0.068, 4.317]],
  "species": ["P", "P", "Pb", "Ru"],
  "fractional_positions": [[0.000, 0.000, 0.000], [0.500, 0.500, 0.000], [0.500, 0.000, 0.500], [0.000, 0.500, 0.500]]
}

***

{
  "formula": "P2RuPb2",
  "functional": "PBE",
  "state": "optimized geometry",
  "e_form_ev_per_atom": -0.039,
  "volume_a3_per_atom": 20.4,
  "lattice": [[6.149, 0.000, 0.000], [0.000, 6.149, 0.000], [0.000, 0.000, 5.409]],
  "species": ["Pb", "Pb", "Pb", "Pb", "Ru", "Ru", "P", "P", "P", "P"],
  "fractional_positions": [[0.187, 0.687, 0.500], [0.687, 0.813, 0.500], [0.813, 0.313, 0.500], [0.313, 0.187, 0.500], [0.000, 0.000, 0.000], [0.500, 0.500, 0.000], [0.370, 0.870, 0.000], [0.870, 0.630, 0.000], [0.630, 0.130, 0.000], [0.130, 0.370, 0.000]]
}